Compound: ErAlZn2Pt4
Source: Alexandria via LeMat-Bulk
Functional: GGA-PBE
Structure: relaxed

extended XYZ file:
```
8
Lattice="4.4060 0.0000 0.0000 2.2030 3.8157 0.0000 2.2030 1.2719 7.8422" Properties=species:S:1:pos:R:3 pbc="T T T"
Er 0.0000 0.0000 0.0000
Zn 6.6090 3.8157 5.8925
Pt 4.4060 2.5438 1.4607
Al 4.4060 2.5438 3.9211
Pt 6.6090 3.8157 3.0913
Pt 2.2030 1.2719 4.7509
Pt 4.4060 2.5438 6.3816
Zn 2.2030 1.2719 1.9498
```

magnetic moment	0.0	Bohr magnetons per cell
DOS at the Fermi energy	0.332	states/eV/atom
crystal system	trigonal
energy of formation	-857	meV per atom

Compound: Ba2TlRe
Source: Alexandria via LeMat-Bulk
Functional: GGA-PBE
Structure: relaxed

extended XYZ file:
```
4
Lattice="4.8170 0.0000 0.0000 0.0000 4.9378 0.0060 0.0000 2.4646 6.1430" Properties=species:S:1:pos:R:3 pbc="T T T"
Tl 2.4085 4.6254 4.5278
Re 0.0000 4.6274 3.2054
Ba 2.4085 2.1594 2.0566
Ba 0.0000 7.0939 5.5825
```

magnetic moment	1.0	Bohr magnetons per cell
polymorph energy (0 for the lowest one)	0.000	eV/f.u.
DOS at the Fermi energy	1.329	states/eV/atom
crystal system	orthorhombic
energy of formation	623	meV per atom

Compound: Ho5MgCo
Source: Alexandria via LeMat-Bulk
Functional: GGA-PBE
Structure: relaxed

extended XYZ file:
```
14
Lattice="6.3884 0.3735 0.0817 2.3809 5.9398 0.0817 3.3399 2.4045 10.5913" Properties=species:S:1:pos:R:3 pbc="T T T"
Ho 8.0500 4.2705 1.5090
Ho 4.3777 4.6738 5.8903
Ho 8.2737 7.4816 6.8047
Ho 7.1240 1.1126 2.7296
Mg 5.0380 4.0100 2.7296
Ho 3.8354 1.2363 3.9501
Co 0.0000 0.0000 0.0000
Ho 7.9579 7.2513 10.1601
Mg 7.0711 4.7078 8.0252
Co 1.6699 1.2022 5.2957
Ho 4.0591 4.4473 9.2458
Ho 4.9852 7.6053 8.0252
Ho 7.7314 4.0440 4.8645
Ho 4.1512 1.4665 0.5947
```

magnetic moment	0.0	Bohr magnetons per cell
DOS at the Fermi energy	1.127	states/eV/atom
crystal system	monoclinic
energy of formation	30	meV per atom